# 1
# GGA-PBE Pm3Nd6Sm2Mg, optimized geometry
data_Pm3Nd6Sm2Mg
_chemical_formula_sum 'Pm6 Nd12 Sm4 Mg2'
_cell_length_a 6.3003
_cell_length_b 10.9208
_cell_length_c 11.9893
_cell_angle_alpha 90.00
_cell_angle_beta 100.12
_cell_angle_gamma 90.00
_space_group_name_H-M_alt 'C 1 2/m 1'
_space_group_IT_number 12
loop_
_space_group_symop_operation_xyz
'x,y,z'
'-x,-y,-z'
'-x,y,-z'
'x,-y,z'
'x+1/2,y+1/2,z'
'-x+1/2,-y+1/2,-z'
'-x+1/2,y+1/2,-z'
'x+1/2,-y+1/2,z'
loop_
_atom_site_label
_atom_site_fract_x
_atom_site_fract_y
_atom_site_fract_z
Pm1 0.0000 0.0000 0.0000
Pm2 0.0000 0.3333 0.0000
Nd1 0.2471 0.3345 0.7474
Nd2 0.2491 0.5000 0.2513
Sm1 0.0000 0.1673 0.5000
Mg1 0.0000 0.5000 0.5000
# - Crystal system: monoclinic
# - Size of the total moment: 0.001 μB/cell

=====

# 2
# GGA-PBE PmNd4Sm2Mg, optimized geometry
data_PmNd4Sm2Mg
_chemical_formula_sum 'Pm1 Nd4 Sm2 Mg1'
_cell_length_a 5.0854
_cell_length_b 5.0984
_cell_length_c 10.2543
_cell_angle_alpha 90.00
_cell_angle_beta 90.00
_cell_angle_gamma 90.00
_space_group_name_H-M_alt 'P m m m'
_space_group_IT_number 47
loop_
_space_group_symop_operation_xyz
'x,y,z'
'-x,-y,-z'
'-x,-y,z'
'x,y,-z'
'x,-y,-z'
'-x,y,z'
'-x,y,-z'
'x,-y,z'
loop_
_atom_site_label
_atom_site_fract_x
_atom_site_fract_y
_atom_site_fract_z
Pm1 0.0000 0.0000 0.0000
Nd1 0.0000 0.5000 0.2548
Nd2 0.5000 0.0000 0.2546
Sm1 0.0000 0.0000 0.5000
Sm2 0.5000 0.5000 0.0000
Mg1 0.5000 0.5000 0.5000
# - Crystal system: orthorhombic
# - Size of the total moment: 0.000 μB/cell

=====

# 3
# GGA-PBE Pm2NdMg2Sn2, optimized geometry
data_Pm2NdMg2Sn2
_chemical_formula_sum 'Pm6 Nd3 Mg6 Sn6'
_cell_length_a 5.0121
_cell_length_b 5.0121
_cell_length_c 27.0796
_cell_angle_alpha 90.00
_cell_angle_beta 90.00
_cell_angle_gamma 120.00
_space_group_name_H-M_alt 'R -3 m'
_space_group_IT_number 166
_space_group_name_Hall '-R 3 2"'
loop_
_atom_site_label
_atom_site_fract_x
_atom_site_fract_y
_atom_site_fract_z
Pm1 0.0000 0.0000 0.1305
Nd1 0.0000 0.0000 0.0000
Mg1 0.0000 0.0000 0.4047
Sn1 0.0000 0.0000 0.2637
# - Crystal system: trigonal
# - Size of the total moment: 0.001 μB/cell

=====

# 4
# GGA-PBE PmNdMgSn, optimized geometry
data_PmNdMgSn
_chemical_formula_sum 'Pm4 Nd4 Mg4 Sn4'
_cell_length_a 7.6853
_cell_length_b 7.6853
_cell_length_c 7.6853
_cell_angle_alpha 90.00
_cell_angle_beta 90.00
_cell_angle_gamma 90.00
_space_group_name_H-M_alt 'F -4 3 m'
_space_group_IT_number 216
_space_group_name_Hall 'F -4 2 3'
loop_
_atom_site_label
_atom_site_fract_x
_atom_site_fract_y
_atom_site_fract_z
Pm1 0.0000 0.0000 0.0000
Nd1 0.0000 0.0000 0.5000
Mg1 0.2500 0.2500 0.7500
Sn1 0.2500 0.2500 0.2500
# - Crystal system: cubic
# - Size of the total moment: 0.000 μB/cell

=====

# 5
# GGA-PBE SrPmNdMg, optimized geometry
data_SrPmNdMg
_chemical_formula_sum 'Sr4 Pm4 Nd4 Mg4'
_cell_length_a 8.2655
_cell_length_b 8.2655
_cell_length_c 8.2655
_cell_angle_alpha 90.00
_cell_angle_beta 90.00
_cell_angle_gamma 90.00
_space_group_name_H-M_alt 'F -4 3 m'
_space_group_IT_number 216
_space_group_name_Hall 'F -4 2 3'
loop_
_atom_site_label
_atom_site_fract_x
_atom_site_fract_y
_atom_site_fract_z
Sr1 0.0000 0.0000 0.0000
Pm1 0.2500 0.2500 0.2500
Nd1 0.0000 0.0000 0.5000
Mg1 0.2500 0.2500 0.7500
# - Crystal system: cubic
# - Size of the total moment: 0.000 μB/cell

=====

# 6
# GGA-PBE Tb4PmNd2Mg, optimized geometry
data_Tb4PmNd2Mg
_chemical_formula_sum 'Tb4 Pm1 Nd2 Mg1'
_cell_length_a 5.0130
_cell_length_b 4.9995
_cell_length_c 10.2399
_cell_angle_alpha 90.00
_cell_angle_beta 90.05
_cell_angle_gamma 90.00
_space_group_name_H-M_alt 'P 1 2/m 1'
_space_group_IT_number 10
loop_
_space_group_symop_operation_xyz
'x,y,z'
'-x,-y,-z'
'-x,y,-z'
'x,-y,z'
loop_
_atom_site_label
_atom_site_fract_x
_atom_site_fract_y
_atom_site_fract_z
Tb1 0.0006 0.0000 0.2530
Tb2 0.4993 0.5000 0.7469
Pm1 0.0000 0.5000 0.0000
Nd1 0.0000 0.5000 0.5000
Nd2 0.5000 0.0000 0.0000
Mg1 0.5000 0.0000 0.5000
# - Crystal system: monoclinic
# - Size of the total moment: 0.001 μB/cell

=====

# 7
# GGA-PBE Tb2PmNd2Mg, optimized geometry
data_Tb2PmNd2Mg
_chemical_formula_sum 'Tb4 Pm2 Nd4 Mg2'
_cell_length_a 6.1549
_cell_length_b 18.8350
_cell_length_c 3.4321
_cell_angle_alpha 90.00
_cell_angle_beta 90.00
_cell_angle_gamma 90.00
_space_group_name_H-M_alt 'P n n m'
_space_group_IT_number 58
loop_
_space_group_symop_operation_xyz
'x,y,z'
'-x,-y,-z'
'-x,-y,z'
'x,y,-z'
'x+1/2,-y+1/2,-z+1/2'
'-x+1/2,y+1/2,z+1/2'
'-x+1/2,y+1/2,-z+1/2'
'x+1/2,-y+1/2,z+1/2'
loop_
_atom_site_label
_atom_site_fract_x
_atom_site_fract_y
_atom_site_fract_z
Tb1 0.1629 0.2019 0.0000
Pm1 0.0000 0.0000 0.0000
Nd1 0.1630 0.3617 0.5000
Mg1 0.0000 0.5000 0.0000
# - Crystal system: orthorhombic
# - Size of the total moment: 0.006 μB/cell

=====

# 8
# GGA-PBE TbPmNdMg, optimized geometry
data_TbPmNdMg
_chemical_formula_sum 'Tb1 Pm1 Nd1 Mg1'
_cell_length_a 3.6823
_cell_length_b 3.6823
_cell_length_c 9.2400
_cell_angle_alpha 90.00
_cell_angle_beta 90.00
_cell_angle_gamma 90.00
_space_group_name_H-M_alt 'P 4 m m'
_space_group_IT_number 99
loop_
_space_group_symop_operation_xyz
'x,y,z'
'-y,x,z'
'-x,-y,z'
'y,-x,z'
'-x,y,z'
'y,x,z'
'x,-y,z'
'-y,-x,z'
loop_
_atom_site_label
_atom_site_fract_x
_atom_site_fract_y
_atom_site_fract_z
Tb1 0.0000 0.0000 0.0000
Pm1 0.5000 0.5000 0.2654
Nd1 0.0000 0.0000 0.5412
Mg1 0.5000 0.5000 0.7773
# - Energy relative to the lowest polymorph listed for this composition: 0 meV per atom
# - Crystal system: tetragonal
# - Size of the total moment: 0.000 μB/cell

=====

# 9
# GGA-PBE TbPm2Nd6Mg, optimized geometry
data_TbPm2Nd6Mg
_chemical_formula_sum 'Tb4 Pm8 Nd24 Mg4'
_cell_length_a 9.3352
_cell_length_b 15.5806
_cell_length_c 9.3421
_cell_angle_alpha 90.00
_cell_angle_beta 94.29
_cell_angle_gamma 90.00
_space_group_name_H-M_alt 'C 1 2/c 1'
_space_group_IT_number 15
loop_
_space_group_symop_operation_xyz
'x,y,z'
'-x,-y,-z'
'-x,y,-z+1/2'
'x,-y,z+1/2'
'x+1/2,y+1/2,z'
'-x+1/2,-y+1/2,-z'
'-x+1/2,y+1/2,-z+1/2'
'x+1/2,-y+1/2,z+1/2'
loop_
_atom_site_label
_atom_site_fract_x
_atom_site_fract_y
_atom_site_fract_z
Tb1 0.0000 0.0239 0.2500
Pm1 0.2337 0.4469 0.4511
Nd1 0.0405 0.1774 0.9465
Nd2 0.1105 0.3867 0.1040
Nd3 0.2172 0.2121 0.2961
Mg1 0.0000 0.4210 0.7500
# - Crystal system: monoclinic
# - Size of the total moment: 0.000 μB/cell

=====

# 10
# GGA-PBE TbPmNdMg, optimized geometry
data_TbPmNdMg
_chemical_formula_sum 'Tb4 Pm4 Nd4 Mg4'
_cell_length_a 7.9355
_cell_length_b 7.9355
_cell_length_c 7.9355
_cell_angle_alpha 90.00
_cell_angle_beta 90.00
_cell_angle_gamma 90.00
_space_group_name_H-M_alt 'F -4 3 m'
_space_group_IT_number 216
_space_group_name_Hall 'F -4 2 3'
loop_
_atom_site_label
_atom_site_fract_x
_atom_site_fract_y
_atom_site_fract_z
Tb1 0.0000 0.0000 0.0000
Pm1 0.2500 0.2500 0.7500
Nd1 0.0000 0.0000 0.5000
Mg1 0.2500 0.2500 0.2500
# - Energy relative to the lowest polymorph listed for this composition: 98 meV per atom
# - Crystal system: cubic
# - Size of the total moment: 0.004 μB/cell

=====

# 11
# GGA-PBE Tb2PmNd6Mg, optimized geometry
data_Tb2PmNd6Mg
_chemical_formula_sum 'Tb8 Pm4 Nd24 Mg4'
_cell_length_a 9.5218
_cell_length_b 14.8679
_cell_length_c 9.6038
_cell_angle_alpha 90.00
_cell_angle_beta 97.16
_cell_angle_gamma 90.00
_space_group_name_H-M_alt 'C 1 2/c 1'
_space_group_IT_number 15
loop_
_space_group_symop_operation_xyz
'x,y,z'
'-x,-y,-z'
'-x,y,-z+1/2'
'x,-y,z+1/2'
'x+1/2,y+1/2,z'
'-x+1/2,-y+1/2,-z'
'-x+1/2,y+1/2,-z+1/2'
'x+1/2,-y+1/2,z+1/2'
loop_
_atom_site_label
_atom_site_fract_x
_atom_site_fract_y
_atom_site_fract_z
Tb1 0.2481 0.0463 0.0583
Pm1 0.0000 0.0272 0.7500
Nd1 0.0623 0.1771 0.4469
Nd2 0.0928 0.3942 0.6076
Nd3 0.2217 0.2178 0.8082
Mg1 0.0000 0.4094 0.2500
# - Crystal system: monoclinic
# - Size of the total moment: 0.000 μB/cell

=====

Number 1: formation enthalpy at 0 K 0.017 eV/atom. Number 2: formation enthalpy at 0 K 0.006 eV/atom. Number 3: formation enthalpy at 0 K -0.375 eV/atom. Number 4: formation enthalpy at 0 K -0.440 eV/atom. Number 5: formation enthalpy at 0 K 0.146 eV/atom. Number 6: formation enthalpy at 0 K 0.024 eV/atom. Number 7: formation enthalpy at 0 K 0.233 eV/atom. Number 8: formation enthalpy at 0 K -0.034 eV/atom. Number 9: formation enthalpy at 0 K 0.108 eV/atom. Number 10: formation enthalpy at 0 K 0.064 eV/atom. Number 11: formation enthalpy at 0 K 0.115 eV/atom.